Density functional theory data (PBE-GGA) for a geometry-optimized SrAsOs2 structure.

The space group is Imm2 (No. 44) and the conventional cell measures 2.935, 5.377 and 9.950 Å, with angles of 90.00, 90.00 and 90.00 degrees. The inequivalent atoms are Sr at (0.000, 0.000, 0.000), As at (0.000, 0.500, 0.777), Os at (0.000, 0.000, 0.484) and Os at (0.000, 0.500, 0.194).

As for the total magnetization: 0.00 μB per formula unit. The uncorrected energy is -6.592 eV per atom. For the calculated formation energy, the calculation gives 0.6056 eV per atom. The density of states at the Fermi level comes out at 7.435 states/eV per cell.



Density functional theory data (PBE-GGA) for a geometry-optimized SrNdAsS structure.

The space group is R3m (No. 160, hexagonal axes) and the conventional cell measures 4.2898, 4.2898 and 21.1640 Å, with angles of 90.00, 90.00 and 120.00 degrees. The inequivalent atoms are Sr at (0.0000, 0.0000, 0.0000), Nd at (0.0000, 0.0000, 0.4992), As at (0.0000, 0.0000, 0.7568) and S at (0.0000, 0.0000, 0.2465).

The value obtained for the formation energy (no corrections) is -40.1 kcal/mol of atoms. As for the total magnetization: 0.00 μB per formula unit. The uncorrected energy is -5.546 eV per atom.



What did the first record say?
Density functional theory data (PBE-GGA) for a geometry-optimized SrAsOs2 structure.

The space group is Imm2 (No. 44) and the conventional cell measures 2.935, 5.377 and 9.950 Å, with angles of 90.00, 90.00 and 90.00 degrees. The inequivalent atoms are Sr at (0.000, 0.000, 0.000), As at (0.000, 0.500, 0.777), Os at (0.000, 0.000, 0.484) and Os at (0.000, 0.500, 0.194).

As for the total magnetization: 0.00 μB per formula unit. The uncorrected energy is -6.592 eV per atom. For the calculated formation energy, the calculation gives 0.6056 eV per atom. The density of states at the Fermi level comes out at 7.435 states/eV per cell.